No. 1
A relaxed Ac3Ge3Pt8 crystal, computed with PBE-GGA.

a = 16.7541 Å, b = 4.3929 Å, c = 9.2243 Å
α = 90.00°, β = 120.66°, γ = 90.00°
Last column: nearest neighbours and their distance in Å.
Space group C2/m (No. 12)
One atom of each set of equivalent atoms:
Ac 0.0000 0.0000 0.0000  8 Pt 3.02-3.28
Ac 0.2047 0.5000 0.6611  10 Pt 3.14-3.47, 3 Ge 3.44-3.48
Ge 0.0000 0.0000 0.5000  6 Pt 2.51-2.78
Ge 0.1748 0.5000 0.0038  5 Pt 2.50-2.77
Pt 0.0113 0.5000 0.6948  3 Ge 2.77-2.78, 5 Pt 2.78-2.93
Pt 0.1053 0.0000 0.3811  1 Ge 2.51, 4 Pt 2.78
Pt 0.1377 0.0000 0.8445  4 Ge 2.54-2.82
Pt 0.1424 0.5000 0.2404  1 Ge 2.50, 2 Pt 2.78

Computed properties:
density = 13.99 g/cm³
E_tot = -0.4581 Ry per atom


No. 2
A relaxed Ac3GePt crystal, computed with PBE-GGA.

a = 12.3312 Å, b = 4.4689 Å, c = 12.1513 Å
α = 90.00°, β = 90.00°, γ = 90.00°
Last column: nearest neighbours and their distance in Å.
Space group Pnma (No. 62)
One atom of each set of equivalent atoms:
Ac 0.0492 0.2500 0.1425  2 Pt 3.16, 3 Ge 3.27-3.34
Ac 0.1187 0.7500 0.5563  3 Pt 3.10-3.16, 2 Ge 3.39
Ac 0.2229 0.2500 0.8038  2 Pt 3.22-3.34, 2 Ge 3.30
Ge 0.1825 0.7500 0.0000  7 Ac 3.27-3.39
Pt 0.0071 0.7500 0.3219  7 Ac 3.10-3.34

Computed properties:
density = 9.41 g/cm³
E_tot = -0.3938 Ry per atom
energy relative to the lowest polymorph listed for this composition = 0 meV per atom